No. 1
# CeHoAs2Rh2

Crystalline CeHoAs2Rh2 at its relaxed geometry (GGA-PBE, Alexandria).

Lattice parameters (Å, degrees): 4.2603 4.2603 7.6138 90.00 90.00 120.00
Closest atoms and distances in Å follow each position.
Space group P-3m1 (No. 164)
Inequivalent atoms, fractional coordinates:
Ce1 0.0000 0.0000 0.0000 x1  6 As 3.07, 6 Rh 3.21
Ho1 0.0000 0.0000 0.5000 x1  6 Rh 3.01, 6 As 3.15
As1 0.3333 0.6667 0.2417 x2  3 Rh 2.47
Rh1 0.3333 0.6667 0.7288 x2  3 As 2.47

Values from the calculation:
For the formation energy, the calculation gives -1105 meV per atom. The density comes out at 9.2 g/cm³.

=====

No. 2
# Mg4ScZn

Crystalline Mg4ScZn at its relaxed geometry (GGA-PBE, Alexandria).

Lattice parameters (Å, degrees): 8.1529 8.1529 8.1529 90.00 90.00 90.00
Closest atoms and distances in Å follow each position.
Space group F-43m (No. 216)
Inequivalent atoms, fractional coordinates:
Mg1 0.1247 0.1247 0.1247 x16  6 Mg 2.88-2.89
Sc1 0.2500 0.2500 0.7500 x4  12 Mg 3.38, 4 Zn 3.53
Zn1 0.0000 0.0000 0.5000 x4  12 Mg 3.38, 4 Sc 3.53

Values from the calculation:
For the formation energy, the calculation gives 155 meV per atom. The density comes out at 2.5 g/cm³.

=====

No. 3
# CeY2Hg

Crystalline CeY2Hg at its relaxed geometry (GGA-PBE, Alexandria).

Lattice parameters (Å, degrees): 7.7059 7.7059 7.7059 90.00 90.00 90.00
Closest atoms and distances in Å follow each position.
Space group F-43m (No. 216)
Inequivalent atoms, fractional coordinates:
Ce1 0.0000 0.0000 0.0000 x4  4 Hg 3.34, 4 Y 3.34
Y1 0.0000 0.0000 0.5000 x4  4 Y 3.34, 4 Hg 3.34
Y2 0.2500 0.2500 0.7500 x4  4 Ce 3.34, 4 Y 3.34
Hg1 0.2500 0.2500 0.2500 x4  4 Ce 3.34, 4 Y 3.34

Values from the calculation:
For the formation energy, the calculation gives -13 meV per atom. The density comes out at 7.5 g/cm³.

=====

No. 4
# BaTe2AsCl

Crystalline BaTe2AsCl at its relaxed geometry (GGA-PBE, Alexandria).

Lattice parameters (Å, degrees): 5.7224 5.7224 4.9803 90.00 90.00 90.00
Closest atoms and distances in Å follow each position.
Space group P4/mmm (No. 123)
Inequivalent atoms, fractional coordinates:
Ba1 0.0000 0.0000 0.0000 x1  8 Te 3.79, 4 As 4.05
Te1 0.0000 0.5000 0.5000 x2  2 Cl 2.86
As1 0.5000 0.5000 0.0000 x1  2 Cl 2.49
Cl1 0.5000 0.5000 0.5000 x1  2 As 2.49

Values from the calculation:
The total energy is -15.622 eV per cell. The density comes out at 5.1 g/cm³.